Entry 1:
LuVRh2: optimized geometry, PBE.

E_form, eV/atom: -0.496
Crystal system: tetragonal
Magnetic moment, μB/atom: 0.54
DFT total energy, eV/f.u.: -30.33
SG: P4/mmm

Lattice parameters (Å, degrees): 4.578 4.578 3.142 90.00 90.00 90.00
Atoms (fractional coordinates):
Lu  0.000  0.000  0.000
V  0.500  0.500  0.000
Rh  0.000  0.500  0.500
Rh  0.500  0.000  0.500


Entry 2:
Rb4NaNp3Se8: optimized geometry, PBE.

Crystal system: trigonal
Magnetic moment, μB/atom: 0.63
DFT total energy, eV/f.u.: -91.41
SG: R-3m

Lattice parameters (Å, degrees): 9.354 9.354 9.354 54.94 54.94 54.94
Atoms (fractional coordinates):
Rb  0.000  0.000  0.000
Rb  0.000  0.500  0.500
Rb  0.500  0.000  0.500
Rb  0.500  0.500  0.000
Na  0.500  0.500  0.500
Np  0.000  0.000  0.500
Np  0.000  0.500  0.000
Np  0.500  0.000  0.000
Se  0.212  0.740  0.740
Se  0.232  0.232  0.232
Se  0.260  0.260  0.788
Se  0.260  0.788  0.260
Se  0.740  0.212  0.740
Se  0.740  0.740  0.212
Se  0.768  0.768  0.768
Se  0.788  0.260  0.260


Entry 3:
HOsRh2: optimized geometry, PBE.

Crystal system: trigonal
Magnetic moment, μB/atom: 0.00
DFT total energy, eV/f.u.: -29.09
SG: R-3m

Lattice parameters (Å, degrees): 2.743 2.743 20.656 90.00 90.00 120.00
Atoms (fractional coordinates):
H  0.000  0.000  0.000
H  0.333  0.667  0.667
H  0.667  0.333  0.333
Os  0.000  0.000  0.500
Os  0.333  0.667  0.167
Os  0.667  0.333  0.833
Rh  0.000  0.000  0.273
Rh  0.000  0.000  0.727
Rh  0.333  0.667  0.394
Rh  0.333  0.667  0.939
Rh  0.667  0.333  0.061
Rh  0.667  0.333  0.606


Entry 4:
Ho2Er5Sb5: optimized geometry, PBE.

Crystal system: monoclinic
Magnetic moment, μB/atom: 0.00
DFT total energy, eV/f.u.: -62.23
SG: C2/m

Lattice parameters (Å, degrees): 7.368 7.368 12.453 108.83 108.83 34.05
Atoms (fractional coordinates):
Ho  0.045  0.045  0.285
Ho  0.955  0.955  0.715
Er  0.281  0.281  0.159
Er  0.340  0.340  0.465
Er  0.500  0.500  0.000
Er  0.660  0.660  0.535
Er  0.719  0.719  0.841
Sb  0.000  0.000  0.500
Sb  0.120  0.120  0.935
Sb  0.302  0.302  0.709
Sb  0.698  0.698  0.291
Sb  0.880  0.880  0.065


Entry 5:
CePm4Ho3S8: optimized geometry, PBE.

Crystal system: trigonal
Magnetic moment, μB/atom: 0.00
DFT total energy, eV/f.u.: -103.95
SG: R-3m

Lattice parameters (Å, degrees): 7.962 7.962 7.962 59.83 59.83 59.83
Atoms (fractional coordinates):
Ce  0.000  0.000  0.000
Pm  0.000  0.000  0.500
Pm  0.000  0.500  0.000
Pm  0.500  0.000  0.000
Pm  0.500  0.500  0.500
Ho  0.000  0.500  0.500
Ho  0.500  0.000  0.500
Ho  0.500  0.500  0.000
S  0.249  0.249  0.741
S  0.249  0.741  0.249
S  0.255  0.255  0.255
S  0.259  0.751  0.751
S  0.741  0.249  0.249
S  0.745  0.745  0.745
S  0.751  0.259  0.751
S  0.751  0.751  0.259


Entry 6:
Cd2Re2B: optimized geometry, PBE.

E_form, eV/atom: 0.303
Crystal system: tetragonal
Magnetic moment, μB/atom: 0.00
DFT total energy, eV/f.u.: -31.89
SG: P4/mbm

Lattice parameters (Å, degrees): 5.746 5.746 4.861 90.00 90.00 90.00
Atoms (fractional coordinates):
Cd  0.171  0.329  0.000
Cd  0.329  0.829  0.000
Cd  0.671  0.171  0.000
Cd  0.829  0.671  0.000
Re  0.155  0.655  0.500
Re  0.345  0.155  0.500
Re  0.655  0.845  0.500
Re  0.845  0.345  0.500
B  0.000  0.000  0.500
B  0.500  0.500  0.500